{"formula": "LiBi3Cl2O4", "functional": "PBE", "state": "optimized geometry", "sg": "Cmcm, No. 63", "e_form_raw_mev_per_atom": -1407, "cell": [[-2.4668, -0.8481, 6.2889], [2.7694, -4.3398, -4.4555], [9.9332, 2.0542, 4.1732]], "species": ["O", "Bi", "O", "Bi", "O", "O", "Li", "Cl", "O", "Li", "Bi", "O", "Bi", "Bi", "Cl", "Cl", "Cl", "O", "O", "Bi"], "frac_coords": [[0.0067, 0.4851, 0.6236], [0.6576, 0.3424, 0.5095], [0.5149, 0.9933, 0.8764], [0.3424, 0.6576, 0.4905], [0.4851, 0.0067, 0.1236], [0.5149, 0.9933, 0.6236], [0.7825, 0.2175, 0.2500], [0.0000, 0.0000, 0.5000], [0.0067, 0.4851, 0.8764], [0.2175, 0.7825, 0.7500], [0.8578, 0.1422, 0.7500], [0.4851, 0.0067, 0.3764], [0.1422, 0.8578, 0.2500], [0.6576, 0.3424, 0.9905], [0.0000, 0.0000, 0.0000], [0.5083, 0.4917, 0.2500], [0.4917, 0.5083, 0.7500], [0.9933, 0.5149, 0.1236], [0.9933, 0.5149, 0.3764], [0.3424, 0.6576, 0.0095]]}

{"formula": "Hf3Pa", "functional": "PBE", "state": "optimized geometry", "sg": "I4/mmm, No. 139", "cell": [[4.4797, 0.0000, 0.0000], [0.0000, 4.4797, 0.0000], [-2.2399, -2.2399, 4.5882]], "species": ["Hf", "Pa", "Hf", "Hf"], "frac_coords": [[0.7500, 0.2500, 0.5000], [0.0000, 0.0000, 0.0000], [0.5000, 0.5000, 0.0000], [0.2500, 0.7500, 0.5000]]}

{"formula": "CsCaSbH2", "functional": "PBE", "state": "optimized geometry", "sg": "Cm, No. 8", "cell": [[-2.1350, 3.3839, -1.7020], [-1.3585, -2.6028, -3.4708], [-11.1815, -5.3036, 8.3537]], "species": ["Cs", "Sb", "H", "Ca", "Cs", "H", "H", "H", "Ca", "Sb"], "frac_coords": [[0.1259, 0.0000, 0.0791], [0.0454, 0.5000, 0.3044], [0.3624, 0.5000, 0.3921], [0.5688, 0.5000, 0.8626], [0.1259, 0.5000, 0.5791], [0.3624, 0.0000, 0.8921], [0.6196, 0.0000, 0.5119], [0.6196, 0.5000, 0.0119], [0.5688, 0.0000, 0.3626], [0.0454, 0.0000, 0.8044]]}

no.,total DFT energy (no corrections) (eV/atom)
1,-5.12
2,-9.75
3,-3.10